Record 1
Compound: HfSc2Si2
Source: OQMD via LeMat-Bulk
Functional: PBE
Structure: relaxed

Unit cell a=6.3050 b=6.3050 c=6.3050 alpha=139.97 beta=139.97 gamma=57.89
Last column: nearest neighbours and their distance in Å.
Fractional positions:
Hf: 0.0000 0.0000 0.0000  8 Sc 3.33, 8 Si 3.50
Sc: 0.3800 0.3800 0.0000  4 Si 2.59, 1 Sc 2.65
Sc: 0.6200 0.6200 0.0000  4 Si 2.59, 1 Sc 2.65
Si: 0.7500 0.2500 0.5000  4 Sc 2.59
Si: 0.2500 0.7500 0.5000  4 Sc 2.59

Output
**Space group**: I4/mmm (139)
**Density**: 5.245 Mg/m³
**E above lowest polymorph**: 0.6829 eV per atom
**Uncorrected energy**: -32.2 eV for the cell shown

---

Record 2
Compound: Pr2AuS3
Source: OQMD via LeMat-Bulk
Functional: PBE
Structure: relaxed

Unit cell a=4.0551 b=4.0551 c=8.2254 alpha=90.00 beta=90.00 gamma=90.00
Last column: nearest neighbours and their distance in Å.
Fractional positions:
Au: 0.0000 0.0000 0.0000  4 S 2.87, 4 Pr 3.09
Pr: 0.5000 0.0000 0.2829  7 S 2.94-3.09, 2 Au 3.09
Pr: 0.0000 0.5000 0.7171  7 S 2.94-3.09, 2 Au 3.09
S: 0.5000 0.5000 0.0000  4 Au 2.87, 4 Pr 3.09
S: 0.0000 0.5000 0.3600  5 Pr 2.94
S: 0.5000 0.0000 0.6400  5 Pr 2.94

Output
**Space group**: P-4m2 (115)
**Density**: 7.059 Mg/m³
**Uncorrected energy**: -34.6 eV for the cell shown

---

Record 3
Compound: YCuIrPb
Source: OQMD via LeMat-Bulk
Functional: PBE
Structure: relaxed

Unit cell a=4.7960 b=4.7960 c=4.7960 alpha=60.00 beta=60.00 gamma=60.00
Last column: nearest neighbours and their distance in Å.
Fractional positions:
Cu: 0.7500 0.7500 0.7500  4 Pb 2.94, 4 Y 2.94
Ir: 0.2500 0.2500 0.2500  4 Pb 2.94, 4 Y 2.94
Pb: 0.0000 0.0000 0.0000  4 Cu 2.94, 4 Ir 2.94
Y: 0.5000 0.5000 0.5000  4 Cu 2.94, 4 Ir 2.94

Output
**Space group**: F-43m (216)
**Density**: 11.748 Mg/m³
**E above lowest polymorph**: 0.0000 eV per atom
**Uncorrected energy**: -23.6 eV for the cell shown

---

Record 4
Compound: NdCo2
Source: OQMD via LeMat-Bulk
Functional: PBE
Structure: relaxed

Unit cell a=3.8980 b=3.8980 c=4.2229 alpha=90.00 beta=90.00 gamma=120.00
Last column: nearest neighbours and their distance in Å.
Fractional positions:
Co: 0.6667 0.3333 0.0000  3 Co 2.25
Co: 0.3333 0.6667 0.0000  3 Co 2.25
Nd: 0.0000 0.0000 0.5000  12 Co 3.09

Output
**Space group**: P6/mmm (191)
**Energy of formation from the pure elements**: -0.075 eV/atom
**Density**: 7.833 Mg/m³
**Uncorrected energy**: -19.2 eV for the cell shown

---

Record 5
Compound: Sc4FeSiC2
Source: OQMD via LeMat-Bulk
Functional: PBE
Structure: relaxed

Unit cell a=3.2724 b=3.2724 c=13.8188 alpha=90.00 beta=90.00 gamma=120.00
Last column: nearest neighbours and their distance in Å.
Fractional positions:
C: 0.6667 0.3333 0.2476  6 Sc 2.26-2.27
C: 0.6667 0.3333 0.7524  6 Sc 2.26-2.27
Fe: 0.0000 0.0000 0.0000  6 Sc 2.88
Sc: 0.3333 0.6667 0.1578  3 C 2.26
Sc: 0.0000 0.0000 0.3389  3 C 2.27
Sc: 0.0000 0.0000 0.6611  3 C 2.27
Sc: 0.3333 0.6667 0.8422  3 C 2.26
Si: 0.3333 0.6667 0.5000  6 Sc 2.92

Output
**Space group**: P-6m2 (187)
**Density**: 3.729 Mg/m³
**Uncorrected energy**: -59.9 eV for the cell shown

---

Record 6
Compound: TbAlNO
Source: OQMD via LeMat-Bulk
Functional: PBE
Structure: relaxed

Unit cell a=3.3954 b=5.2016 c=6.0959 alpha=90.00 beta=90.00 gamma=90.00
Last column: nearest neighbours and their distance in Å.
Fractional positions:
Al: 0.5000 0.9936 0.1859  2 O 1.81, 2 N 1.89
Al: 0.5000 0.4936 0.8141  2 O 1.81, 2 N 1.89
N: 0.0000 0.9610 0.3179  2 Al 1.89
N: 0.0000 0.4610 0.6821  2 Al 1.89
O: 0.5000 0.3132 0.0676  2 Al 1.81
O: 0.5000 0.8132 0.9324  2 Al 1.81
Tb: 0.0000 0.4862 0.3176  2 N 2.23-2.47, 2 O 2.45
Tb: 0.0000 0.9862 0.6825  2 N 2.23-2.47, 2 O 2.45

Output
**Space group**: Pmc2_1 (26)
**Density**: 6.660 Mg/m³
**E above lowest polymorph**: 0.0000 eV per atom
**Uncorrected energy**: -58.8 eV for the cell shown

---

Record 7
Compound: YPd4Au3O12
Source: OQMD via LeMat-Bulk
Functional: PBE
Structure: relaxed

Unit cell a=6.6961 b=6.6961 c=6.6961 alpha=109.47 beta=109.47 gamma=109.47
Last column: nearest neighbours and their distance in Å.
Fractional positions:
Au: 0.5000 0.5000 0.0000  4 O 2.05
Au: 0.5000 0.0000 0.5000  4 O 2.05
Au: 0.0000 0.5000 0.5000  4 O 2.05
O: 0.2924 0.8361 0.1284  1 Au 2.05, 2 Pd 2.07
O: 0.4563 0.2924 0.1639  1 Au 2.05, 2 Pd 2.07
O: 0.8716 0.7076 0.1639  1 Au 2.05, 2 Pd 2.07
O: 0.8361 0.1284 0.2924  1 Au 2.05, 2 Pd 2.07
O: 0.1639 0.4563 0.2924  1 Au 2.05, 2 Pd 2.07
O: 0.2924 0.1639 0.4563  1 Au 2.05, 2 Pd 2.07
O: 0.7076 0.8361 0.5437  1 Au 2.05, 2 Pd 2.07
O: 0.1639 0.8716 0.7076  1 Au 2.05, 2 Pd 2.07
O: 0.8361 0.5437 0.7076  1 Au 2.05, 2 Pd 2.07
O: 0.1284 0.2924 0.8361  1 Au 2.05, 2 Pd 2.07
O: 0.5437 0.7076 0.8361  1 Au 2.05, 2 Pd 2.07
O: 0.7076 0.1639 0.8716  1 Au 2.05, 2 Pd 2.07
Pd: 0.5000 0.0000 0.0000  6 O 2.07
Pd: 0.0000 0.5000 0.0000  6 O 2.07
Pd: 0.0000 0.0000 0.5000  6 O 2.07
Pd: 0.5000 0.5000 0.5000  6 O 2.07
Y: 0.0000 0.0000 0.0000  12 O 2.59

Output
**Space group**: Im-3 (204)
**Density**: 9.322 Mg/m³
**Uncorrected energy**: -109.1 eV for the cell shown

---

Record 8
Compound: Li2Mg2ZnGePt2
Source: OQMD via LeMat-Bulk
Functional: PBE
Structure: relaxed

Unit cell a=4.4123 b=4.4123 c=6.2259 alpha=90.00 beta=90.00 gamma=90.00
Last column: nearest neighbours and their distance in Å.
Fractional positions:
Ge: 0.0000 0.0000 0.0000  4 Pt 2.67, 4 Li 2.71
Li: 0.5000 0.0000 0.2524  2 Zn 2.69, 4 Mg 2.69-2.71, 2 Ge 2.71
Li: 0.0000 0.5000 0.7477  2 Zn 2.69, 4 Mg 2.69-2.71, 2 Ge 2.71
Mg: 0.5000 0.5000 0.0000  4 Pt 2.67, 4 Li 2.71
Mg: 0.0000 0.0000 0.5000  4 Li 2.69, 4 Pt 2.73
Pt: 0.0000 0.5000 0.2416  4 Mg 2.67-2.73, 2 Ge 2.67, 2 Zn 2.73
Pt: 0.5000 0.0000 0.7584  2 Ge 2.67, 4 Mg 2.67-2.73, 2 Zn 2.73
Zn: 0.5000 0.5000 0.5000  4 Li 2.69, 4 Pt 2.73

Output
**Space group**: P-4m2 (115)
**Density**: 8.093 Mg/m³
**Uncorrected energy**: -29.9 eV for the cell shown

---

- What is the uncorrected energy in the seventh record?
  -109.1 eV for the cell shown